Entry 1:
! ZrNbN2, relaxed, DFT GGA-PBEsol; values from VASP
&SYSTEM
  ibrav = 0, nat = 4, ntyp = 3
/
ATOMIC_SPECIES
Nb 92.91 Nb.upf
Zr 91.22 Zr.upf
N 14.01 N.upf
CELL_PARAMETERS angstrom
-0.3515 1.9913 2.4519
-2.8461 1.2717 0.6190
-2.1721 -2.8792 4.0868
ATOMIC_POSITIONS crystal
Nb 0.5000 0.5000 0.5000
Zr 0.0000 0.0000 0.0000
N 0.2499 0.2499 0.2504
N 0.7501 0.7501 0.7496
! E_form (uncorrected) = -6.20 eV/f.u.
! Calculated volume = 11.22 Å³/atom
! Magnetization = 0.0 μB/f.u.
! Crystal system = trigonal
! E_tot = -10.79 eV per atom
! Symmetry = No. 166

---

Entry 2:
! CsSb2Pb2, relaxed, DFT GGA-PBEsol; values from VASP
&SYSTEM
  ibrav = 0, nat = 10, ntyp = 3
/
ATOMIC_SPECIES
Pb 207.20 Pb.upf
Cs 132.91 Cs.upf
Sb 121.76 Sb.upf
CELL_PARAMETERS angstrom
3.6524 0.0000 0.0000
0.0000 9.5780 0.0000
0.0000 0.0000 9.5780
ATOMIC_POSITIONS crystal
Pb 0.0000 0.3772 0.8772
Pb 0.0000 0.8772 0.6228
Pb 0.0000 0.6228 0.1228
Pb 0.0000 0.1228 0.3772
Cs 0.0000 0.0000 0.0000
Cs 0.0000 0.5000 0.5000
Sb 0.5000 0.1586 0.6586
Sb 0.5000 0.6586 0.8414
Sb 0.5000 0.8414 0.3414
Sb 0.5000 0.3414 0.1586
! E_form (uncorrected) = -0.60 eV/f.u.
! Calculated volume = 33.51 Å³/atom
! Magnetization = 0.0 μB/f.u.
! Crystal system = tetragonal
! E_tot = -3.73 eV per atom
! Symmetry = No. 127

---

Entry 3:
! Li2AlVO4, relaxed, DFT GGA-PBEsol; values from VASP
&SYSTEM
  ibrav = 0, nat = 16, ntyp = 4
/
ATOMIC_SPECIES
Li 6.94 Li.upf
Al 26.98 Al.upf
V 50.94 V.upf
O 16.00 O.upf
CELL_PARAMETERS angstrom
4.0198 0.0000 0.0015
0.0000 5.7057 0.0000
-0.0026 0.0000 6.8217
ATOMIC_POSITIONS crystal
Li 0.5584 0.3250 0.9942
Li 0.0584 0.6750 0.4942
Li 0.5584 0.8281 0.2620
Li 0.0584 0.1719 0.7620
Al 0.0583 0.1662 0.2486
Al 0.5583 0.8338 0.7486
V 0.5583 0.3368 0.5123
V 0.0583 0.6632 0.0123
O 0.0583 0.3295 0.0253
O 0.5583 0.6705 0.5252
O 0.0584 0.8527 0.2401
O 0.5584 0.1472 0.7401
O 0.5584 0.1792 0.2676
O 0.0584 0.8208 0.7676
O 0.0584 0.3184 0.4798
O 0.5584 0.6816 0.9798
! E_form (uncorrected) = -19.08 eV/f.u.
! Calculated volume = 9.78 Å³/atom
! Magnetization = 2.0 μB/f.u.
! Crystal system = orthorhombic
! E_tot = -7.22 eV per atom
! Symmetry = No. 31

---

Entry 4:
! SrCa2AgS, relaxed, DFT GGA-PBEsol; values from VASP
&SYSTEM
  ibrav = 0, nat = 5, ntyp = 4
/
ATOMIC_SPECIES
Sr 87.62 Sr.upf
Ca 40.08 Ca.upf
S 32.06 S.upf
Ag 107.87 Ag.upf
CELL_PARAMETERS angstrom
5.4729 0.0000 0.0000
0.0000 5.4729 0.0000
0.0000 0.0000 5.8845
ATOMIC_POSITIONS crystal
Sr 0.0000 0.0000 0.5000
Ca 0.0000 0.5000 0.0000
Ca 0.5000 0.0000 0.0000
S 0.5000 0.5000 0.5000
Ag 0.0000 0.0000 0.0000
! E_form (uncorrected) = -0.85 eV/f.u.
! Calculated volume = 35.25 Å³/atom
! Magnetization = 0.0 μB/f.u.
! Crystal system = tetragonal
! E_tot = -2.93 eV per atom
! Symmetry = No. 123

---

Entry 5:
! SrMnAl, relaxed, DFT GGA-PBEsol; values from VASP
&SYSTEM
  ibrav = 0, nat = 3, ntyp = 3
/
ATOMIC_SPECIES
Sr 87.62 Sr.upf
Mn 54.94 Mn.upf
Al 26.98 Al.upf
CELL_PARAMETERS angstrom
4.8028 0.0000 0.0000
2.4014 4.1593 0.0000
2.4014 1.3864 3.9215
ATOMIC_POSITIONS crystal
Sr 0.0000 0.0000 0.0000
Mn 0.2500 0.2500 0.2500
Al 0.5000 0.5000 0.5000
! Calculated volume = 26.11 Å³/atom
! Magnetization = 3.8 μB/f.u.
! Crystal system = cubic
! ΔH_f (0 K) = 58.8 kJ/mol of atoms
! E_tot = -4.62 eV per atom
! Symmetry = No. 216

---

Entry 6:
! BaYIr2, relaxed, DFT GGA-PBEsol; values from VASP
&SYSTEM
  ibrav = 0, nat = 4, ntyp = 3
/
ATOMIC_SPECIES
Ba 137.33 Ba.upf
Ir 192.22 Ir.upf
Y 88.91 Y.upf
CELL_PARAMETERS angstrom
3.0961 0.0000 0.0000
0.0000 5.3210 -0.0322
-1.5480 -1.3660 5.4542
ATOMIC_POSITIONS crystal
Ba 0.7287 0.2037 0.4575
Ir 0.9571 0.9809 0.9142
Ir 0.2792 0.7264 0.5584
Y 0.5349 0.5890 0.0699
! Calculated volume = 22.43 Å³/atom
! Magnetization = 0.0 μB/f.u.
! Crystal system = monoclinic
! ΔH_f (0 K) = 1.3 kJ/mol of atoms
! E_tot = -7.14 eV per atom
! Symmetry = No. 8

---

Entry 7:
! Cs2HgI4, relaxed, DFT GGA-PBEsol; values from VASP
&SYSTEM
  ibrav = 0, nat = 14, ntyp = 3
/
ATOMIC_SPECIES
Cs 132.91 Cs.upf
Hg 200.59 Hg.upf
I 126.90 I.upf
CELL_PARAMETERS angstrom
-6.2207 -2.4313 3.9768
-0.4656 -6.6912 -4.8191
9.1198 -3.8890 4.5186
ATOMIC_POSITIONS crystal
Cs 0.8028 0.7500 0.4632
Cs 0.1972 0.2500 0.5368
Cs 0.7053 0.7500 0.9098
Cs 0.2947 0.2500 0.0902
Hg 0.1857 0.7500 0.2771
Hg 0.8143 0.2500 0.7229
I 0.3581 0.7500 0.5522
I 0.6419 0.2500 0.4478
I 0.9510 0.4819 0.2141
I 0.0490 0.9819 0.7859
I 0.0490 0.5181 0.7859
I 0.9510 0.0181 0.2141
I 0.4234 0.7500 0.1371
I 0.5766 0.2500 0.8629
! E_form (uncorrected) = -7.19 eV/f.u.
! Calculated volume = 46.88 Å³/atom
! Magnetization = 0.0 μB/f.u.
! Crystal system = monoclinic
! E_tot = -2.39 eV per atom
! Symmetry = No. 11

---

Entry 8:
! NbGaH3, relaxed, DFT GGA-PBEsol; values from VASP
&SYSTEM
  ibrav = 0, nat = 5, ntyp = 3
/
ATOMIC_SPECIES
H 1.01 H.upf
Nb 92.91 Nb.upf
Ga 69.72 Ga.upf
CELL_PARAMETERS angstrom
-0.6332 2.6320 -2.3874
1.3271 -2.0744 -2.6389
-3.2963 -1.3407 -0.6039
ATOMIC_POSITIONS crystal
H 0.0000 0.5000 0.0000
H 0.0000 0.0000 0.5000
H 0.5000 0.0000 0.0000
Nb 0.0000 0.0000 0.0000
Ga 0.5000 0.5000 0.5000
! Calculated volume = 9.40 Å³/atom
! Magnetization = 0.0 μB/f.u.
! Crystal system = cubic
! E_tot = -4.63 eV per atom
! Symmetry = No. 221

---

Entry 9:
! Mg2ZnRh, relaxed, DFT GGA-PBEsol; values from VASP
&SYSTEM
  ibrav = 0, nat = 4, ntyp = 3
/
ATOMIC_SPECIES
Zn 65.41 Zn.upf
Rh 102.91 Rh.upf
Mg 24.30 Mg.upf
CELL_PARAMETERS angstrom
-1.5283 -1.9390 -1.9827
-0.6293 -1.9623 2.4042
-5.3954 3.1051 1.1222
ATOMIC_POSITIONS crystal
Zn 0.5000 0.5000 0.5000
Rh 0.5000 0.5000 0.0000
Mg 0.0000 0.0000 0.7712
Mg 0.0000 0.0000 0.2288
! Calculated volume = 15.86 Å³/atom
! Magnetization = 0.0 μB/f.u.
! Crystal system = tetragonal
! ΔH_f (0 K) = -28.3 kJ/mol of atoms
! E_tot = -3.58 eV per atom
! Symmetry = No. 123

---

Entry 10:
! ScCdBW2, relaxed, DFT GGA-PBEsol; values from VASP
&SYSTEM
  ibrav = 0, nat = 5, ntyp = 4
/
ATOMIC_SPECIES
Sc 44.96 Sc.upf
B 10.81 B.upf
W 183.84 W.upf
Cd 112.41 Cd.upf
CELL_PARAMETERS angstrom
-4.1419 -0.6403 0.7365
-0.2334 -2.4683 -3.4585
0.9846 -3.5395 2.4597
ATOMIC_POSITIONS crystal
Sc 0.5000 0.5000 0.5000
B 0.0000 0.0000 0.0000
W 0.0000 0.5000 0.0000
W 0.5000 0.0000 0.0000
Cd 0.0000 0.0000 0.5000
! Calculated volume = 16.01 Å³/atom
! Magnetization = 0.0 μB/f.u.
! Crystal system = tetragonal
! ΔH_f (0 K) = 34.2 kJ/mol of atoms
! E_tot = -8.13 eV per atom
! Symmetry = No. 123

---

Entry 11:
! CoHgTe2, relaxed, DFT GGA-PBEsol; values from VASP
&SYSTEM
  ibrav = 0, nat = 4, ntyp = 3
/
ATOMIC_SPECIES
Co 58.93 Co.upf
Hg 200.59 Hg.upf
Te 127.60 Te.upf
CELL_PARAMETERS angstrom
3.2427 0.0000 0.0000
0.0000 5.1690 0.0000
0.0000 0.0000 5.1690
ATOMIC_POSITIONS crystal
Co 0.5000 0.5000 0.5000
Hg 0.5000 0.0000 0.0000
Te 0.0000 0.0000 0.5000
Te 0.0000 0.5000 0.0000
! E_form (uncorrected) = 2.47 eV/f.u.
! Calculated volume = 21.66 Å³/atom
! Magnetization = 1.4 μB/f.u.
! Crystal system = tetragonal
! E_tot = -3.22 eV per atom
! Symmetry = No. 123

---

Entry 12:
! TaInI2O, relaxed, DFT GGA-PBEsol; values from VASP
&SYSTEM
  ibrav = 0, nat = 5, ntyp = 4
/
ATOMIC_SPECIES
I 126.90 I.upf
In 114.82 In.upf
O 16.00 O.upf
Ta 180.95 Ta.upf
CELL_PARAMETERS angstrom
3.8893 0.0000 0.0000
0.0000 5.7632 0.0000
0.0000 0.0000 5.7632
ATOMIC_POSITIONS crystal
I 0.0000 0.0000 0.5000
I 0.0000 0.5000 0.0000
In 0.5000 0.5000 0.5000
O 0.5000 0.0000 0.0000
Ta 0.0000 0.0000 0.0000
! E_form (uncorrected) = -3.29 eV/f.u.
! Calculated volume = 25.84 Å³/atom
! Magnetization = 1.4 μB/f.u.
! Crystal system = tetragonal
! E_tot = -5.52 eV per atom
! Symmetry = No. 123